(1)
The following is a PBE calculation of Rb2VReI6 after structural relaxation, from Alexandria.

Lattice parameters (Å, degrees): 8.085 8.085 11.338 90.00 90.00 90.00
Space group I4/mmm (No. 139)
Unique sites:
Rb: 0.000 0.500 0.250 [4 per cell]
V: 0.000 0.000 0.000 [2 per cell]
Re: 0.000 0.000 0.500 [2 per cell]
I: 0.000 0.000 0.250 [4 per cell]
I: 0.250 0.250 0.000 [8 per cell]

(2)
The following is a PBE calculation of Rb2ReWI6 after structural relaxation, from Alexandria.

Lattice parameters (Å, degrees): 8.138 8.138 11.494 90.00 90.00 90.00
Space group I4/mmm (No. 139)
Unique sites:
Rb: 0.000 0.500 0.250 [4 per cell]
Re: 0.000 0.000 0.000 [2 per cell]
W: 0.000 0.000 0.500 [2 per cell]
I: 0.000 0.000 0.249 [4 per cell]
I: 0.249 0.249 0.000 [8 per cell]

(3)
The following is a PBE calculation of Rb2ZnReI after structural relaxation, from Alexandria.

Lattice parameters (Å, degrees): 6.934 6.934 6.722 90.00 90.00 90.00
Space group P4/mmm (No. 123)
Unique sites:
Rb: 0.000 0.500 0.000 [2 per cell]
Zn: 0.000 0.000 0.500 [1 per cell]
Re: 0.500 0.500 0.500 [1 per cell]
I: 0.000 0.000 0.000 [1 per cell]

(4)
The following is a PBE calculation of Rb2RhI7 after structural relaxation, from Alexandria.

Lattice parameters (Å, degrees): 8.662 8.662 11.671 90.00 90.00 90.00
Space group I4/mmm (No. 139)
Unique sites:
Rb: 0.000 0.500 0.250 [4 per cell]
Rh: 0.000 0.000 0.000 [2 per cell]
I: 0.000 0.000 0.234 [4 per cell]
I: 0.000 0.000 0.500 [2 per cell]
I: 0.221 0.221 0.000 [8 per cell]

(5)
The following is a PBE calculation of RbRhI2 after structural relaxation, from Alexandria.

Results
* polymorph energy (0 for the lowest one): 415.1 meV per atom

Lattice parameters (Å, degrees): 8.005 8.005 8.005 90.00 90.00 90.00
Space group Fm-3m (No. 225)
Unique sites:
Rb: 0.000 0.000 0.000 [4 per cell]
Rh: 0.000 0.000 0.500 [4 per cell]
I: 0.250 0.250 0.250 [8 per cell]

(6)
The following is a PBE calculation of RbRh3I after structural relaxation, from Alexandria.

Results
* polymorph energy (0 for the lowest one): 0.0 meV per atom

Lattice parameters (Å, degrees): 4.998 4.998 4.998 90.00 90.00 90.00
Space group Pm-3m (No. 221)
Unique sites:
Rb: 0.000 0.000 0.000 [1 per cell]
Rh: 0.000 0.500 0.500 [3 per cell]
I: 0.500 0.500 0.500 [1 per cell]

no.,E (eV per cell),formation energy without anion corrections (kJ/mol of formula units),ρ (g cm⁻³)
1,-70.16,-220,5.24
2,-73.93,-31,5.68
3,-11.58,543,2.82
4,-51.90,-561,4.41
5,-45.08,14,5.73
6,-20.38,405,6.93